Entry from the Alexandria database: a relaxed YScI5 crystal (PBE-GGA).

```
14
Lattice="9.549 0.000 0.000 0.000 4.035 0.000 -0.022 0.000 15.352" Properties=species:S:1:pos:R:3 pbc="T T T"
Y 1.499 1.009 2.805
Y 8.028 3.026 12.547
Sc 4.007 3.026 5.531
Sc 5.520 1.009 9.822
I 0.693 1.009 11.965
I 1.811 1.009 5.904
I 2.128 3.026 0.614
I 3.543 3.026 8.745
I 4.554 1.009 3.278
I 4.973 3.026 12.074
I 5.984 1.009 6.607
I 7.399 1.009 14.738
I 7.716 3.026 9.448
I 8.834 3.026 3.387
```

M_tot   2.0 μB/cell
Formation energy without anion corrections   -117.83 kJ/mol of atoms